(1)
{"formula": "La12Sb3Ru5", "functional": "PBE-GGA", "state": "optimized geometry", "lattice_angstrom": [[-2.072, 3.190, -14.720], [13.269, -7.198, 1.807], [-11.306, -8.909, 4.895]], "species": ["Sb", "Sb", "Sb", "Sb", "Sb", "Sb", "Sb", "Sb", "Sb", "Sb", "Sb", "Sb", "Ru", "Ru", "Ru", "Ru", "Ru", "Ru", "Ru", "Ru", "Ru", "Ru", "Ru", "Ru", "Ru", "Ru", "Ru", "Ru", "Ru", "Ru", "Ru", "Ru", "La", "La", "La", "La", "La", "La", "La", "La", "La", "La", "La", "La", "La", "La", "La", "La", "La", "La", "La", "La", "La", "La", "La", "La", "La", "La", "La", "La", "La", "La", "La", "La", "La", "La", "La", "La", "La", "La", "La", "La", "La", "La", "La", "La", "La", "La", "La", "La"], "frac_coords": [[0.750, 0.375, 0.125], [0.875, 0.750, 0.125], [0.375, 0.750, 0.625], [0.250, 0.125, 0.375], [0.875, 0.125, 0.250], [0.375, 0.625, 0.250], [0.625, 0.375, 0.750], [0.125, 0.875, 0.750], [0.750, 0.875, 0.625], [0.625, 0.250, 0.375], [0.125, 0.250, 0.875], [0.250, 0.625, 0.875], [0.125, 0.375, 0.250], [0.000, 0.500, 0.000], [0.000, 0.000, 0.000], [0.375, 0.250, 0.125], [0.500, 0.000, 0.500], [0.500, 0.500, 0.000], [0.125, 0.750, 0.375], [0.750, 0.125, 0.875], [0.750, 0.625, 0.375], [0.375, 0.125, 0.750], [0.625, 0.875, 0.250], [0.500, 0.500, 0.500], [0.500, 0.000, 0.000], [0.000, 0.000, 0.500], [0.250, 0.375, 0.625], [0.250, 0.875, 0.125], [0.000, 0.500, 0.500], [0.875, 0.250, 0.625], [0.625, 0.750, 0.875], [0.875, 0.625, 0.750], [0.704, 0.121, 0.026], [0.322, 0.526, 0.405], [0.974, 0.379, 0.296], [0.526, 0.204, 0.121], [0.584, 0.704, 0.678], [0.974, 0.595, 0.178], [0.322, 0.796, 0.416], [0.095, 0.916, 0.121], [0.595, 0.974, 0.678], [0.704, 0.584, 0.178], [0.796, 0.474, 0.379], [0.822, 0.905, 0.026], [0.121, 0.704, 0.526], [0.379, 0.405, 0.084], [0.084, 0.905, 0.379], [0.416, 0.121, 0.595], [0.084, 0.178, 0.204], [0.474, 0.678, 0.095], [0.822, 0.916, 0.296], [0.121, 0.416, 0.095], [0.379, 0.974, 0.796], [0.595, 0.621, 0.416], [0.905, 0.822, 0.526], [0.796, 0.322, 0.916], [0.405, 0.379, 0.584], [0.095, 0.178, 0.474], [0.204, 0.678, 0.084], [0.178, 0.084, 0.704], [0.621, 0.026, 0.204], [0.879, 0.584, 0.905], [0.526, 0.322, 0.905], [0.584, 0.879, 0.405], [0.916, 0.822, 0.796], [0.916, 0.095, 0.621], [0.879, 0.296, 0.474], [0.178, 0.095, 0.974], [0.621, 0.595, 0.916], [0.405, 0.026, 0.322], [0.296, 0.416, 0.822], [0.204, 0.526, 0.621], [0.905, 0.084, 0.879], [0.678, 0.204, 0.584], [0.474, 0.796, 0.879], [0.026, 0.405, 0.822], [0.416, 0.296, 0.322], [0.026, 0.621, 0.704], [0.678, 0.474, 0.595], [0.296, 0.879, 0.974]], "spacegroup": "No. 230", "e_form_raw_ev_per_atom": -0.389, "crystal_system": "cubic", "magnetic_moment_mub_per_cell": 0.000}



(2)
{"formula": "MnBeRh", "functional": "PBE-GGA", "state": "optimized geometry", "lattice_angstrom": [[3.293, 0.000, 0.000], [0.000, 3.293, 0.000], [0.000, 0.000, 6.102]], "species": ["Be", "Be", "Mn", "Mn", "Rh", "Rh"], "frac_coords": [[0.000, 0.500, 0.792], [0.500, 0.000, 0.208], [0.000, 0.000, 0.500], [0.500, 0.500, 0.500], [0.000, 0.500, 0.167], [0.500, 0.000, 0.833]], "spacegroup": "No. 129", "e_above_lowest_polymorph_mev_per_atom": 139, "crystal_system": "tetragonal", "magnetic_moment_mub_per_cell": 0.002}



(3)
{"formula": "Ce6PrS8", "functional": "PBE-GGA", "state": "optimized geometry", "lattice_angstrom": [[8.055, 0.000, 0.000], [4.027, 6.975, 0.000], [4.027, 2.325, 6.577]], "species": ["Ce", "Ce", "Ce", "Ce", "Ce", "Ce", "Pr", "S", "S", "S", "S", "S", "S", "S", "S"], "frac_coords": [[0.000, 0.500, 0.500], [0.500, 0.000, 0.000], [0.500, 0.500, 0.000], [0.000, 0.000, 0.500], [0.000, 0.500, 0.000], [0.500, 0.000, 0.500], [0.000, 0.000, 0.000], [0.750, 0.750, 0.750], [0.250, 0.250, 0.250], [0.747, 0.253, 0.253], [0.253, 0.747, 0.747], [0.253, 0.253, 0.747], [0.747, 0.747, 0.253], [0.747, 0.253, 0.747], [0.253, 0.747, 0.253]], "spacegroup": "No. 225", "e_form_raw_ev_per_atom": -2.017, "crystal_system": "cubic", "magnetic_moment_mub_per_cell": 5.285}



(4)
{"formula": "CsGa3As", "functional": "PBE-GGA", "state": "optimized geometry", "lattice_angstrom": [[-2.533, 0.373, -5.331], [2.971, -4.806, -1.748], [-4.443, -3.426, 1.871]], "species": ["Cs", "As", "Ga", "Ga", "Ga"], "frac_coords": [[0.000, 0.000, 0.000], [0.500, 0.500, 0.500], [0.000, 0.500, 0.000], [0.000, 0.000, 0.500], [0.500, 0.000, 0.000]], "spacegroup": "No. 221", "e_above_lowest_polymorph_mev_per_atom": 1125, "crystal_system": "cubic", "magnetic_moment_mub_per_cell": 0.000}



(5)
{"formula": "Cr2IrRuSe", "functional": "PBE-GGA", "state": "optimized geometry", "lattice_angstrom": [[-2.142, -3.352, 2.000], [3.561, -2.621, -0.579], [1.611, 1.319, 3.936]], "species": ["Ru", "Ir", "Se", "Cr", "Cr"], "frac_coords": [[0.000, 0.500, 0.000], [0.500, 0.500, 0.500], [0.000, 0.000, 0.000], [0.000, 0.000, 0.500], [0.500, 0.000, 0.000]], "spacegroup": "No. 123", "e_form_raw_ev_per_atom": 1.134, "crystal_system": "tetragonal", "magnetic_moment_mub_per_cell": 4.857}



(6)
{"formula": "Ni3Ru2Pt4", "functional": "PBE-GGA", "state": "optimized geometry", "lattice_angstrom": [[-2.700, 0.480, -2.639], [0.059, -3.236, -3.393], [-3.850, -6.508, 2.754]], "species": ["Ni", "Ni", "Ni", "Ru", "Ru", "Pt", "Pt", "Pt", "Pt"], "frac_coords": [[0.333, 0.335, 0.448], [0.000, 0.000, 0.000], [0.667, 0.665, 0.552], [0.328, 0.344, 0.770], [0.672, 0.656, 0.230], [0.665, 0.670, 0.888], [0.008, 0.983, 0.337], [0.992, 0.017, 0.663], [0.335, 0.330, 0.112]], "spacegroup": "No. 12", "e_tot_ev_per_cell": -60.164, "crystal_system": "monoclinic", "magnetic_moment_mub_per_cell": 0.000}



(7)
{"formula": "BiIrS2", "functional": "PBE-GGA", "state": "optimized geometry", "lattice_angstrom": [[6.426, 0.000, 0.000], [0.000, 6.275, 0.000], [0.000, 0.000, 8.336]], "species": ["S", "S", "S", "S", "S", "S", "S", "S", "Ir", "Ir", "Ir", "Ir", "Bi", "Bi", "Bi", "Bi"], "frac_coords": [[0.338, 0.852, 0.084], [0.662, 0.148, 0.584], [0.162, 0.352, 0.584], [0.838, 0.648, 0.084], [0.073, 0.849, 0.752], [0.927, 0.151, 0.252], [0.427, 0.349, 0.252], [0.573, 0.651, 0.752], [0.993, 0.981, 0.005], [0.007, 0.019, 0.505], [0.507, 0.481, 0.505], [0.493, 0.519, 0.005], [0.110, 0.389, 0.908], [0.890, 0.611, 0.408], [0.390, 0.889, 0.408], [0.610, 0.111, 0.908]], "spacegroup": "No. 33", "e_form_raw_ev_per_atom": -0.172, "crystal_system": "orthorhombic", "magnetic_moment_mub_per_cell": 0.000}



(8)
{"formula": "La3Pm2TmAs6", "functional": "PBE-GGA", "state": "optimized geometry", "lattice_angstrom": [[-0.478, 0.313, -7.391], [4.951, -4.490, 3.208], [-6.215, -3.754, 1.483]], "species": ["La", "La", "La", "Pm", "Pm", "Tm", "As", "As", "As", "As", "As", "As"], "frac_coords": [[0.168, 0.832, 0.500], [0.832, 0.168, 0.500], [0.500, 0.500, 0.500], [0.334, 0.666, 0.000], [0.666, 0.334, 0.000], [0.000, 0.000, 0.000], [0.920, 0.592, 0.760], [0.753, 0.753, 0.241], [0.080, 0.408, 0.240], [0.592, 0.920, 0.760], [0.247, 0.247, 0.759], [0.408, 0.080, 0.240]], "spacegroup": "No. 12", "e_tot_ev_per_cell": -75.081, "crystal_system": "monoclinic", "magnetic_moment_mub_per_cell": 0.000}